A plane-wave DFT calculation with PBE-GGA was carried out for an optimized crystal structure of Li2CuAu.

```
Li2CuAu
1.0
-3.329 1.395 -2.598
0.794 -1.781 -1.973
-2.828 -3.307 1.848
Li Au Cu
2 1 1
Cartesian
-2.587 -3.365 1.509
-2.412 -0.515 -0.992
-0.792 -2.619 -0.392
-3.418 -3.046 -1.062
```

Calculated values
* magnetization: 0.0 μB per formula unit
* E_form: -0.271 eV per atom
* density: 7.81 g/cm3
* SG: Pmm2
* density of states at the Fermi level: 0.36 states/eV per atom